CsCaSbH2: relaxed, PBE.

Summary:
Crystal system   triclinic
Symmetry   P1
ΔE to the lowest computed polymorph   0.278 eV/f.u.

abc: 4.4617 4.5779 7.2690
angles: 93.22 101.93 90.52
Closest atoms and distances in Å follow each position.
Atoms (fractional coordinates):
1 Cs 0.0000 0.0000 0.0000  5 H 3.11-3.44
2 Ca 0.7964 0.4048 0.5080  2 H 2.40-2.56
3 Sb 0.3094 0.9021 0.5351  1 H 2.70
4 H 0.4846 0.6161 0.2405  1 H 0.81
5 H 0.5626 0.5165 0.1683  1 H 0.81

Cu2PCl: relaxed, PBE.

Summary:
Formation energy from raw total energies   0.02 eV/atom
Crystal system   orthorhombic
Symmetry   Pmmm
ΔE to the lowest computed polymorph   0.456 eV/f.u.

abc: 3.0261 3.2138 6.4865
angles: 90.00 90.00 90.00
Closest atoms and distances in Å follow each position.
Atoms (fractional coordinates):
1 Cu 0.0000 0.0000 0.1965  2 Cl 2.48, 4 P 2.55, 1 Cu 2.55
2 Cu 0.0000 0.0000 0.8035  2 Cl 2.48, 4 P 2.55, 1 Cu 2.55
3 P 0.5000 0.5000 0.0000  8 Cu 2.55
4 Cl 0.5000 0.0000 0.5000  4 Cu 2.48

SrBi4Rh2: relaxed, PBE.

Summary:
Calculated total energy   -4.92 eV/atom
Crystal system   orthorhombic
Symmetry   Pnma

abc: 19.7238 4.6120 7.9189
angles: 90.00 90.00 90.00
Closest atoms and distances in Å follow each position.
Atoms (fractional coordinates):
1 Sr 0.1431 0.2500 0.0091  8 Bi 3.39-3.58, 4 Rh 3.58-3.65
2 Sr 0.3569 0.7500 0.5091  8 Bi 3.39-3.58, 4 Rh 3.58-3.65
3 Sr 0.6431 0.2500 0.4909  8 Bi 3.39-3.58, 4 Rh 3.58-3.65
4 Sr 0.8569 0.7500 0.9909  8 Bi 3.39-3.58, 4 Rh 3.58-3.65
5 Bi 0.0297 0.7500 0.8670  3 Rh 2.80-3.02
6 Bi 0.0670 0.2500 0.4881  4 Rh 2.92-3.05
7 Bi 0.1802 0.7500 0.3146  4 Rh 2.88-3.03
8 Bi 0.1980 0.7500 0.7265  3 Rh 2.82-2.91
9 Bi 0.3020 0.2500 0.2265  3 Rh 2.82-2.91
10 Bi 0.3198 0.2500 0.8146  4 Rh 2.88-3.03
11 Bi 0.4330 0.7500 0.9881  4 Rh 2.92-3.05
12 Bi 0.4703 0.2500 0.3670  3 Rh 2.80-3.02
13 Bi 0.5297 0.7500 0.6330  3 Rh 2.80-3.02
14 Bi 0.5670 0.2500 0.0119  4 Rh 2.92-3.05
15 Bi 0.6802 0.7500 0.1854  4 Rh 2.88-3.03
16 Bi 0.6980 0.7500 0.7735  3 Rh 2.82-2.91
17 Bi 0.8020 0.2500 0.2735  3 Rh 2.82-2.91
18 Bi 0.8198 0.2500 0.6854  4 Rh 2.88-3.03
19 Bi 0.9330 0.7500 0.5119  4 Rh 2.92-3.05
20 Bi 0.9703 0.2500 0.1330  3 Rh 2.80-3.02
21 Rh 0.0366 0.7500 0.2482  7 Bi 2.80-3.05
22 Rh 0.2181 0.2500 0.5281  7 Bi 2.82-3.03
23 Rh 0.2819 0.7500 0.0281  7 Bi 2.82-3.03
24 Rh 0.4634 0.2500 0.7482  7 Bi 2.80-3.05
25 Rh 0.5366 0.7500 0.2518  7 Bi 2.80-3.05
26 Rh 0.7181 0.2500 0.9719  7 Bi 2.82-3.03
27 Rh 0.7819 0.7500 0.4719  7 Bi 2.82-3.03
28 Rh 0.9634 0.2500 0.7518  7 Bi 2.80-3.05

Cr3MoPt: relaxed, PBE.

Summary:
Crystal system   cubic
Symmetry   Pm-3m
ΔE to the lowest computed polymorph   0.306 eV/f.u.

abc: 4.3723 4.3723 4.3723
angles: 90.00 90.00 90.00
Closest atoms and distances in Å follow each position.
Atoms (fractional coordinates):
1 Cr 0.0000 0.0000 0.5000  2 Mo 2.19
2 Cr 0.0000 0.5000 0.0000  2 Mo 2.19
3 Cr 0.5000 0.0000 0.0000  2 Mo 2.19
4 Mo 0.0000 0.0000 0.0000  6 Cr 2.19
5 Pt 0.5000 0.5000 0.5000  12 Cr 3.09

TiP2ICl: relaxed, PBE.

Summary:
Formation energy from raw total energies   -0.02 eV/atom
Crystal system   tetragonal
Symmetry   P4/mmm
ΔE to the lowest computed polymorph   0.000 eV/f.u.

abc: 4.9157 4.9157 4.6876
angles: 90.00 90.00 90.00
Closest atoms and distances in Å follow each position.
Atoms (fractional coordinates):
1 Ti 0.0000 0.0000 0.0000  2 Cl 2.34, 4 P 2.46
2 P 0.0000 0.5000 0.0000  2 Ti 2.46
3 P 0.5000 0.0000 0.0000  2 Ti 2.46
4 I 0.5000 0.5000 0.5000  8 P 3.40, 4 Cl 3.48
5 Cl 0.0000 0.0000 0.5000  2 Ti 2.34

GaTcTe2I: relaxed, PBE.

Summary:
Formation energy from raw total energies   0.33 eV/atom
Crystal system   tetragonal
Symmetry   P4/mmm
ΔE to the lowest computed polymorph   0.000 eV/f.u.

abc: 5.1672 5.1672 5.9346
angles: 90.00 90.00 90.00
Closest atoms and distances in Å follow each position.
Atoms (fractional coordinates):
1 Ga 0.0000 0.0000 0.0000  4 I 3.65, 8 Te 3.93
2 Tc 0.5000 0.5000 0.5000  4 Te 2.58
3 Te 0.0000 0.5000 0.5000  2 Tc 2.58
4 Te 0.5000 0.0000 0.5000  2 Tc 2.58
5 I 0.5000 0.5000 0.0000  2 Tc 2.97

La2CrRu: relaxed, PBE.

Summary:
Crystal system   tetragonal
Symmetry   P4mm
ΔE to the lowest computed polymorph   0.184 eV/f.u.

abc: 3.1537 3.1537 9.1301
angles: 90.00 90.00 90.00
Closest atoms and distances in Å follow each position.
Atoms (fractional coordinates):
1 La 0.0000 0.0000 0.0000  4 La 3.15, 4 Cr 3.16, 1 Ru 3.37
2 La 0.5000 0.5000 0.3825  4 La 3.15, 4 Ru 3.18, 1 Cr 3.40
3 Cr 0.5000 0.5000 0.7548  4 Ru 2.50
4 Ru 0.0000 0.0000 0.6314  4 Cr 2.50

BeSbAu: relaxed, PBE.

Summary:
Formation energy from raw total energies   0.01 eV/atom
Crystal system   triclinic
Symmetry   P1

abc: 3.2914 4.4335 8.5846
angles: 94.94 90.28 111.69
Closest atoms and distances in Å follow each position.
Atoms (fractional coordinates):
1 Be 0.0000 0.0000 0.0000  1 Be 2.24, 4 Au 2.39-2.42
2 Be 0.2137 0.4154 0.1876  1 Be 2.24, 2 Au 2.43
3 Sb 0.4078 0.8189 0.7603  2 Be 2.68-2.69, 2 Au 2.87-3.00
4 Sb 0.6580 0.3016 0.4469  2 Be 2.84-2.85, 3 Au 2.85-2.89
5 Au 0.7071 0.4150 0.9618  5 Be 2.40-2.55
6 Au 0.9240 0.8370 0.2594  4 Be 2.39-2.52

Nd3Ho2Hg4: relaxed, PBE.

Summary:
Calculated total energy   -3.01 eV/atom
Crystal system   orthorhombic
Symmetry   Cmce

abc: 10.2460 10.2460 8.0051
angles: 90.00 90.00 140.70
Closest atoms and distances in Å follow each position.
Atoms (fractional coordinates):
1 Nd 0.0000 0.0000 0.0000  6 Hg 3.01-3.07
2 Nd 0.0101 0.4899 0.2500  5 Hg 3.11-3.30, 2 Nd 3.45
3 Nd 0.4899 0.0101 0.7500  5 Hg 3.11-3.30, 2 Nd 3.45
4 Nd 0.5000 0.5000 0.5000  6 Hg 3.01-3.07
5 Nd 0.5101 0.9899 0.2500  5 Hg 3.11-3.30, 2 Nd 3.45
6 Nd 0.9899 0.5101 0.7500  5 Hg 3.11-3.30, 2 Nd 3.45
7 Ho 0.0929 0.9071 0.4148  3 Hg 3.21-3.25
8 Ho 0.4071 0.5929 0.9148  3 Hg 3.21-3.25
9 Ho 0.5929 0.4071 0.0852  3 Hg 3.21-3.25
10 Ho 0.9071 0.0929 0.5852  3 Hg 3.21-3.25
11 Hg 0.1581 0.8419 0.0405  5 Nd 3.07-3.30, 1 Ho 3.25, 2 Hg 3.31
12 Hg 0.1756 0.3244 0.2500  3 Nd 3.01-3.19, 2 Ho 3.21, 2 Hg 3.31
13 Hg 0.3244 0.1756 0.7500  3 Nd 3.01-3.19, 2 Ho 3.21, 2 Hg 3.31
14 Hg 0.3419 0.6581 0.5405  5 Nd 3.07-3.30, 1 Ho 3.25, 2 Hg 3.31
15 Hg 0.6581 0.3419 0.4595  5 Nd 3.07-3.30, 1 Ho 3.25, 2 Hg 3.31
16 Hg 0.6756 0.8244 0.2500  3 Nd 3.01-3.19, 2 Ho 3.21, 2 Hg 3.31
17 Hg 0.8244 0.6756 0.7500  3 Nd 3.01-3.19, 2 Ho 3.21, 2 Hg 3.31
18 Hg 0.8419 0.1581 0.9595  5 Nd 3.07-3.30, 1 Ho 3.25, 2 Hg 3.31

AgPd3O: relaxed, PBE.

Summary:
Formation energy from raw total energies   0.00 eV/atom
Crystal system   cubic
Symmetry   Pm-3m
ΔE to the lowest computed polymorph   0.000 eV/f.u.

abc: 4.2294 4.2294 4.2294
angles: 90.00 90.00 90.00
Closest atoms and distances in Å follow each position.
Atoms (fractional coordinates):
1 Ag 0.0000 0.0000 0.0000  12 Pd 2.99
2 Pd 0.0000 0.5000 0.5000  2 O 2.11
3 Pd 0.5000 0.0000 0.5000  2 O 2.11
4 Pd 0.5000 0.5000 0.0000  2 O 2.11
5 O 0.5000 0.5000 0.5000  6 Pd 2.11

U2Ge3Rh8: relaxed, PBE.

Summary:
Calculated total energy   -7.78 eV/atom
Crystal system   monoclinic
Symmetry   C2/m

abc: 6.8933 6.8933 7.1871
angles: 118.62 118.62 48.04
Closest atoms and distances in Å follow each position.
Atoms (fractional coordinates):
1 U 0.1325 0.1325 0.0202  4 Rh 2.57-2.67
2 U 0.8675 0.8675 0.9798  4 Rh 2.57-2.67
3 Ge 0.2384 0.7616 0.5000  6 Rh 2.46-2.55, 1 Ge 2.68
4 Ge 0.5000 0.5000 0.0000  6 Rh 2.48-2.49
5 Ge 0.7616 0.2384 0.5000  6 Rh 2.46-2.55, 1 Ge 2.68
6 Rh 0.1195 0.6222 0.6711  2 Ge 2.49-2.50, 1 U 2.64, 1 Rh 2.73
7 Rh 0.1992 0.1992 0.7376  2 Ge 2.55, 1 U 2.57, 3 Rh 2.78-2.82
8 Rh 0.3778 0.3778 0.1812  3 Ge 2.46-2.48, 1 U 2.67
9 Rh 0.3778 0.8805 0.3289  2 Ge 2.49-2.50, 1 U 2.64, 1 Rh 2.73
10 Rh 0.6222 0.1195 0.6711  2 Ge 2.49-2.50, 1 U 2.64, 1 Rh 2.73
11 Rh 0.6222 0.6222 0.8188  3 Ge 2.46-2.48, 1 U 2.67
12 Rh 0.8008 0.8008 0.2624  2 Ge 2.55, 1 U 2.57, 3 Rh 2.78-2.82
13 Rh 0.8805 0.3778 0.3289  2 Ge 2.49-2.50, 1 U 2.64, 1 Rh 2.73

Pm2TmSn: relaxed, PBE.

Summary:
Crystal system   trigonal
Symmetry   R-3m
ΔE to the lowest computed polymorph   1.725 eV/f.u.

abc: 12.1314 12.1314 12.1314
angles: 16.52 16.52 16.52
Closest atoms and distances in Å follow each position.
Atoms (fractional coordinates):
1 Pm 0.0931 0.0931 0.0931  3 Sn 3.32, 1 Tm 3.34, 6 Pm 3.49
2 Pm 0.9069 0.9069 0.9069  3 Sn 3.32, 1 Tm 3.34, 6 Pm 3.49
3 Tm 0.0000 0.0000 0.0000  2 Pm 3.34, 6 Tm 3.49
4 Sn 0.5000 0.5000 0.5000  6 Pm 3.32, 6 Sn 3.49